No. 1
ReP2O2 | PBE-GGA | optimized geometry

The structure in CIF format:
```
data_ReP2O2
_space_group_name_H-M_alt 'P 4/m b m'
_space_group_IT_number 127
_space_group_name_Hall '-P 4 2ab'
_cell_length_a 7.173
_cell_length_b 7.173
_cell_length_c 2.527
_cell_angle_alpha 90.00
_cell_angle_beta 90.00
_cell_angle_gamma 90.00
loop_
_atom_site_label
_atom_site_type_symbol
_atom_site_fract_x
_atom_site_fract_y
_atom_site_fract_z
Re1 Re 0.000 0.000 0.000
P1 P 0.230 0.270 0.500
O1 O 0.118 0.382 0.000
```

Calculated values
Its density of states at the Fermi level is 6.5 states/eV per cell. The total magnetization is 0.0 μB per formula unit. Its electronic total energy is -6.66 eV per atom. For the volume, the calculation gives 13.00 Å³/atom.

***

No. 2
ReP2O2 | PBE-GGA | optimized geometry

The structure in CIF format:
```
data_ReP2O2
_space_group_name_H-M_alt 'P 4/m m m'
_space_group_IT_number 123
_space_group_name_Hall '-P 4 2'
_cell_length_a 3.734
_cell_length_b 3.734
_cell_length_c 5.300
_cell_angle_alpha 90.00
_cell_angle_beta 90.00
_cell_angle_gamma 90.00
loop_
_atom_site_label
_atom_site_type_symbol
_atom_site_fract_x
_atom_site_fract_y
_atom_site_fract_z
Re1 Re 0.000 0.000 0.000
P1 P 0.000 0.000 0.500
P2 P 0.500 0.500 0.500
O1 O 0.000 0.500 0.000
```

Calculated values
Its density of states at the Fermi level is 2.6 states/eV per cell. The total magnetization is 1.1 μB per formula unit. Its electronic total energy is -7.06 eV per atom. For the volume, the calculation gives 14.78 Å³/atom.

***

No. 3
ReP2O2 | PBE-GGA | optimized geometry

The structure in CIF format:
```
data_ReP2O2
_space_group_name_H-M_alt 'P 4/m m m'
_space_group_IT_number 123
_space_group_name_Hall '-P 4 2'
_cell_length_a 3.817
_cell_length_b 3.817
_cell_length_c 3.940
_cell_angle_alpha 90.00
_cell_angle_beta 90.00
_cell_angle_gamma 90.00
loop_
_atom_site_label
_atom_site_type_symbol
_atom_site_fract_x
_atom_site_fract_y
_atom_site_fract_z
Re1 Re 0.000 0.000 0.000
P1 P 0.000 0.500 0.500
O1 O 0.500 0.500 0.000
O2 O 0.500 0.500 0.500
```

Calculated values
Its density of states at the Fermi level is 2.7 states/eV per cell. The total magnetization is 0.0 μB per formula unit. Its electronic total energy is -5.86 eV per atom. For the volume, the calculation gives 11.48 Å³/atom.

***

No. 4
ReP2O | PBE-GGA | optimized geometry

The structure in CIF format:
```
data_ReP2O
_space_group_name_H-M_alt 'I -4 2 d'
_space_group_IT_number 122
_space_group_name_Hall 'I -4 2bw'
_cell_length_a 5.064
_cell_length_b 5.064
_cell_length_c 9.893
_cell_angle_alpha 90.00
_cell_angle_beta 90.00
_cell_angle_gamma 90.00
loop_
_atom_site_label
_atom_site_type_symbol
_atom_site_fract_x
_atom_site_fract_y
_atom_site_fract_z
Re1 Re 0.000 0.000 0.000
P1 P 0.224 0.250 0.625
O1 O 0.000 0.000 0.500
```

Calculated values
Its density of states at the Fermi level is 11.9 states/eV per cell. The total magnetization is 0.0 μB per formula unit. Its electronic total energy is -6.91 eV per atom. For the volume, the calculation gives 15.86 Å³/atom.

***

No. 5
ReP2RhO | PBE-GGA | optimized geometry

The structure in CIF format:
```
data_ReP2RhO
_space_group_name_H-M_alt 'P 4/m m m'
_space_group_IT_number 123
_space_group_name_Hall '-P 4 2'
_cell_length_a 4.716
_cell_length_b 4.716
_cell_length_c 3.603
_cell_angle_alpha 90.00
_cell_angle_beta 90.00
_cell_angle_gamma 90.00
loop_
_atom_site_label
_atom_site_type_symbol
_atom_site_fract_x
_atom_site_fract_y
_atom_site_fract_z
Re1 Re 0.000 0.000 0.000
P1 P 0.000 0.500 0.500
Rh1 Rh 0.500 0.500 0.500
O1 O 0.500 0.500 0.000
```

Calculated values
Its density of states at the Fermi level is 3.1 states/eV per cell. The total magnetization is 2.2 μB per formula unit. Its electronic total energy is -6.29 eV per atom. For the volume, the calculation gives 16.03 Å³/atom.

***

No. 6
ReP2RhO | PBE-GGA | optimized geometry

The structure in CIF format:
```
data_ReP2RhO
_space_group_name_H-M_alt 'P 4/m m m'
_space_group_IT_number 123
_space_group_name_Hall '-P 4 2'
_cell_length_a 4.711
_cell_length_b 4.711
_cell_length_c 3.656
_cell_angle_alpha 90.00
_cell_angle_beta 90.00
_cell_angle_gamma 90.00
loop_
_atom_site_label
_atom_site_type_symbol
_atom_site_fract_x
_atom_site_fract_y
_atom_site_fract_z
Re1 Re 0.000 0.000 0.000
P1 P 0.000 0.500 0.000
Rh1 Rh 0.500 0.500 0.500
O1 O 0.000 0.000 0.500
```

Calculated values
Its density of states at the Fermi level is 3.9 states/eV per cell. The total magnetization is 0.0 μB per formula unit. Its electronic total energy is -6.97 eV per atom. For the volume, the calculation gives 16.23 Å³/atom.